# 1
CdIn3Ni | PBE-GGA | relaxed

```
CdIn3Ni
1.0
5.0167 0.0000 0.0000
0.0000 5.0167 0.0000
0.0000 0.0000 5.0167
In Cd Ni
3 1 1
direct
0.5000 0.0000 0.0000 In
0.0000 0.5000 0.0000 In
0.0000 0.0000 0.5000 In
0.5000 0.5000 0.5000 Cd
0.0000 0.0000 0.0000 Ni
```

ρ: 6.78 g/cm3
Final energy: -2.98 eV per atom
Formation energy from the elements: 0.000 eV/atom
Fermi-level density of states: 0.38 states/eV per atom
Distance to the lowest polymorph of the same formula: 0 meV per atom

=====

# 2
Cd2InNi | PBE-GGA | relaxed

```
Cd2InNi
1.0
2.9942 0.0000 0.0000
0.0000 3.2237 0.3454
0.0000 3.9571 8.6640
Cd Ni In
2 1 1
direct
0.5000 0.0917 0.2325 Cd
0.0000 0.0043 0.9553 Cd
0.5000 0.8113 0.7500 Ni
0.0000 0.5927 0.5622 In
```

ρ: 8.32 g/cm3
Final energy: -2.58 eV per atom
Formation energy from the elements: 0.007 eV/atom
Fermi-level density of states: 0.44 states/eV per atom

=====

# 3
Cd2InNi | PBE-GGA | relaxed

```
Cd2InNi
1.0
-4.0603 1.8918 -2.4728
-3.2712 -3.8621 -0.7505
2.3357 1.5965 4.2633
Ni In Cd
1 1 2
direct
0.7500 0.2500 0.5000 Ni
0.5000 0.5000 0.0000 In
0.2500 0.7500 0.5000 Cd
0.0000 0.0000 0.0000 Cd
```

ρ: 8.74 g/cm3
Final energy: -2.47 eV per atom
Formation energy from the elements: 0.116 eV/atom
Fermi-level density of states: 0.37 states/eV per atom

=====

# 4
Cd2InNi | PBE-GGA | relaxed

```
Cd2InNi
1.0
9.3241 -0.0803 -0.0472
8.8001 3.0830 -0.0472
8.8001 1.4579 2.7169
Cd In Ni
2 1 1
direct
0.0125 0.0125 0.0125 Cd
0.4875 0.4875 0.4875 Cd
0.2500 0.2500 0.2500 In
0.7500 0.7500 0.7500 Ni
```

ρ: 8.13 g/cm3
Final energy: -2.45 eV per atom
Formation energy from the elements: 0.139 eV/atom
Fermi-level density of states: 0.60 states/eV per atom

=====

# 5
Cd2InNi | PBE-GGA | relaxed

```
Cd2InNi
1.0
6.7111 0.0529 -0.0432
6.0281 2.9502 -0.0432
1.4682 0.3461 4.1571
In Ni Cd
1 1 2
direct
0.2500 0.2500 0.2500 In
0.7500 0.7500 0.7500 Ni
0.0620 0.0620 0.9384 Cd
0.4380 0.4380 0.5616 Cd
```

ρ: 8.15 g/cm3
Final energy: -2.63 eV per atom
Formation energy from the elements: -0.040 eV/atom
Fermi-level density of states: 0.54 states/eV per atom

=====

# 6
Cd4InNi | PBE-GGA | relaxed

```
Cd4InNi
1.0
0.0000 4.0238 4.0238
4.0238 0.0000 4.0238
4.0238 4.0238 0.0000
Cd In Ni
4 1 1
direct
0.3744 0.8769 0.3744 Cd
0.3744 0.3744 0.8769 Cd
0.3744 0.3744 0.3744 Cd
0.8769 0.3744 0.3744 Cd
0.7500 0.7500 0.7500 In
0.0000 0.0000 0.0000 Ni
```

ρ: 7.94 g/cm3
Final energy: -1.72 eV per atom
Formation energy from the elements: 0.313 eV/atom
Fermi-level density of states: 0.50 states/eV per atom